The following is a PBE calculation of an optimized crystal structure of Tl3Os, from Alexandria.

a b c (Å): 3.6686 4.7923 5.6557
angles (deg): 90.00 102.98 90.00
Space group P2/m (No. 10)
Inequivalent atoms, fractional coordinates:
Tl  0.0000  0.0000  0.0000 x1
Tl  0.3428  0.5000  0.7248 x2
Os  0.0000  0.0000  0.5000 x1

Properties
The calculation puts the energy of formation from the pure elements at 829 meV per atom. As for the total energy: -15.01 eV/cell. As for the theoretical density: 13.768 g cm⁻³. For the volume, the calculation gives 24.223 Å³ per atom. As for the distance to the lowest polymorph of the same formula: 392 meV/atom.

---

The following is a PBE calculation of an optimized crystal structure of Tl3Os, from Alexandria.

a b c (Å): 9.4537 9.4537 3.6131
angles (deg): 90.00 90.00 120.00
Space group R-3m (No. 166, hexagonal axes)
Inequivalent atoms, fractional coordinates:
Tl  0.0000  0.5000  0.0000 x9
Os  0.0000  0.0000  0.0000 x3

Properties
The calculation puts the energy of formation from the pure elements at 980 meV per atom. As for the total energy: -43.23 eV/cell. As for the theoretical density: 14.311 g cm⁻³. For the volume, the calculation gives 23.304 Å³ per atom. As for the distance to the lowest polymorph of the same formula: 543 meV/atom.

---

The following is a PBE calculation of an optimized crystal structure of Tl3Os, from Alexandria.

a b c (Å): 9.0886 14.4157 3.3980
angles (deg): 90.00 90.00 90.00
Space group Cmcm (No. 63)
Inequivalent atoms, fractional coordinates:
Tl  0.0000  0.0907  0.2500 x4
Tl  0.1948  0.3465  0.2500 x8
Os  0.0000  0.2476  0.7500 x4

Properties
The calculation puts the energy of formation from the pure elements at 765 meV per atom. As for the total energy: -61.07 eV/cell. As for the theoretical density: 11.986 g cm⁻³. For the volume, the calculation gives 27.825 Å³ per atom. As for the distance to the lowest polymorph of the same formula: 328 meV/atom.

---

The following is a PBE calculation of an optimized crystal structure of TlOs, from Alexandria.

a b c (Å): 4.1530 4.1530 8.5378
angles (deg): 90.00 90.00 90.00
Space group I4_1/amd (No. 141, origin choice 2)
Inequivalent atoms, fractional coordinates:
Tl  0.0000  0.2500  0.3750 x4
Os  0.0000  0.2500  0.8750 x4

Properties
The calculation puts the energy of formation from the pure elements at 1308 meV per atom. As for the total energy: -43.92 eV/cell. As for the theoretical density: 17.800 g cm⁻³. For the volume, the calculation gives 18.407 Å³ per atom. As for the distance to the lowest polymorph of the same formula: 705 meV/atom.